Entry 1:
## ZnTe2Br (GGA-PBEsol)

Data for ZnTe2Br after structural relaxation.

The structure in POSCAR format:
```
ZnTe2Br
1.0
-2.050 2.572 2.391
-0.479 -3.787 0.206
5.872 -0.442 5.511
Br Te Zn
1 2 1
Cartesian
-1.025 1.286 1.195
4.137 -0.312 3.882
1.735 -0.131 1.629
1.911 1.065 3.951
```

Output
ΔE to the lowest computed polymorph: 25.8 meV/atom


Entry 2:
## ZnTeBr (GGA-PBEsol)

Data for ZnTeBr after structural relaxation.

The structure in POSCAR format:
```
ZnTeBr
1.0
-3.767 -2.947 -0.043
0.071 -4.010 2.606
-2.780 -0.384 3.873
Br Te Zn
1 1 1
Cartesian
0.000 0.000 0.000
-3.238 -3.670 3.218
-4.857 -5.505 4.827
```


The uncorrected energy results, record by record, are as follows: -2.62 -2.22 eV/atom.
The formation energy from raw total energies results, record by record, are as follows: 1 11 kJ/mol of atoms.